The following is a DFT calculation (PBE with a Hubbard U) of a relaxed structure of NaCoRhF6.

**Volume**: 122.8 Å³/f.u.
**Crystal system**: trigonal
**Final energy**: -4.8135 eV per atom
**Fermi-level density of states**: 0.00 states/eV/atom
**SG**: No. 149

Cell lengths 5.3898, 5.3898, 4.8819 Å; angles 90.00, 90.00, 120.00 degrees
Fractional coordinates of all 9 atoms:
Na: 0.0000 0.0000 0.0000
Co: 0.3333 0.6667 0.5000
Rh: 0.6667 0.3333 0.5000
F: 0.3568 0.0073 0.7179
F: 0.3568 0.3495 0.2821
F: 0.6505 0.0073 0.2821
F: 0.6505 0.6432 0.7179
F: 0.9927 0.3495 0.7179
F: 0.9927 0.6432 0.2821